1.
GGA-PBE LiVPt2I, relaxed; density = 7.9 g cm⁻³; E = -23.0 eV per cell; total magnetization = 1.4 μB per formula unit; uncorrected formation energy = 326 meV per atom
1.0
-3.1471 -2.0955 2.8030
3.4737 -4.1329 0.8104
1.8109 2.2507 3.7158
V Li Pt I
1 1 2 1
Direct
0.0000 0.0000 0.0000 V
0.5000 0.5000 0.5000 Li
0.5000 0.0000 0.0000 Pt
0.0000 0.0000 0.5000 Pt
0.0000 0.5000 0.0000 I


2.
GGA-PBE Tl2CdBr, relaxed; density = 8.0 g cm⁻³; E = -7.8 eV per cell; total magnetization = 0.0 μB per formula unit; excess energy over the best structure of this formula in the dataset = 176 meV per atom; uncorrected formation energy = -120 meV per atom
1.0
5.6121 0.0000 0.0000
2.8060 4.8602 0.0000
2.8060 1.6201 4.5822
Tl Br Cd
2 1 1
Direct
0.0000 0.0000 0.0000 Tl
0.2500 0.2500 0.2500 Tl
0.5000 0.5000 0.5000 Br
0.7500 0.7500 0.7500 Cd


3.
GGA-PBE Dy2Er2Cd, relaxed; density = 8.8 g cm⁻³; E = -19.8 eV per cell; total magnetization = 0.0 μB per formula unit; excess energy over the best structure of this formula in the dataset = 0 meV per atom; energy of formation = -0.11 eV per atom
1.0
3.4853 0.0000 -0.5592
-0.0897 3.4841 -0.5592
0.1225 0.1257 11.9040
Er Cd Dy
2 1 2
Direct
0.5896 0.5896 0.1791 Er
0.4104 0.4104 0.8209 Er
0.0000 0.0000 0.0000 Cd
0.8037 0.8037 0.6074 Dy
0.1963 0.1963 0.3926 Dy


4.
GGA-PBE TaSnMo3, relaxed; density = 8.8 g cm⁻³; E = -40.0 eV per cell; total magnetization = 1.3 μB per formula unit; excess energy over the best structure of this formula in the dataset = 0 meV per atom; energy of formation = 1.66 eV per atom
1.0
-4.4182 -1.8760 -0.1519
1.6099 -3.5659 -2.7847
0.9750 -2.6129 3.9096
Sn Mo Ta
1 3 1
Direct
0.5000 0.5000 0.5000 Sn
0.0000 0.0000 0.5000 Mo
0.5000 0.0000 0.0000 Mo
0.0000 0.5000 0.0000 Mo
0.0000 0.0000 0.0000 Ta


5.
GGA-PBE YTm5Tl6, relaxed; density = 10.5 g cm⁻³; E = -45.9 eV per cell; total magnetization = 0.0 μB per formula unit; excess energy over the best structure of this formula in the dataset = 64 meV per atom; energy of formation = -0.24 eV per atom
1.0
-5.0504 3.8452 0.7783
-4.9169 -4.3045 7.3471
0.4115 0.8700 7.3648
Y Tl Tm
1 6 5
Direct
0.0000 0.0000 0.0000 Y
0.2540 0.2503 0.0000 Tl
0.2516 0.9174 0.6637 Tl
0.7460 0.7497 0.0000 Tl
0.7484 0.0826 0.3363 Tl
0.2516 0.5811 0.3363 Tl
0.7484 0.4189 0.6637 Tl
0.0000 0.3346 0.3307 Tm
0.5000 0.1672 0.6657 Tm
0.5000 0.8328 0.3343 Tm
0.0000 0.6654 0.6693 Tm
0.5000 0.5000 0.0000 Tm


6.
GGA-PBE K2NpH6, relaxed; density = 3.1 g cm⁻³; E = -33.0 eV per cell; total magnetization = 3.0 μB per formula unit
1.0
5.4033 0.0000 3.1196
1.8011 5.0943 3.1196
0.0000 0.0000 6.2392
H K Np
6 2 1
Direct
0.2414 0.7586 0.7586 H
0.2414 0.2414 0.7586 H
0.2414 0.7586 0.2414 H
0.7586 0.7586 0.2414 H
0.7586 0.2414 0.7586 H
0.7586 0.2414 0.2414 H
0.2500 0.2500 0.2500 K
0.7500 0.7500 0.7500 K
0.0000 0.0000 0.0000 Np


7.
GGA-PBE AlAg2Se, relaxed; density = 6.6 g cm⁻³; E = -13.0 eV per cell; total magnetization = 0.0 μB per formula unit; excess energy over the best structure of this formula in the dataset = 43 meV per atom; uncorrected formation energy = -20 meV per atom
1.0
-1.3762 2.7365 6.2882
-4.1187 1.5081 5.4485
1.4481 -3.6680 0.6366
Al Ag Se
1 2 1
Direct
0.4752 0.4752 0.4777 Al
0.6851 0.6851 0.6830 Ag
0.0492 0.0492 0.0512 Ag
0.2905 0.2905 0.2880 Se


8.
GGA-PBE CaHg6F12, relaxed; density = 7.6 g cm⁻³; E = -58.8 eV per cell; total magnetization = 0.0 μB per formula unit; uncorrected formation energy = -1712 meV per atom
1.0
-4.1554 0.3868 5.5927
5.2172 -3.7827 2.6774
2.9008 6.3416 0.2561
Hg F Ca
6 12 1
Direct
0.1370 0.3062 0.6081 Hg
0.3919 0.8630 0.6938 Hg
0.3062 0.6081 0.1370 Hg
0.8630 0.6938 0.3919 Hg
0.6081 0.1370 0.3062 Hg
0.6938 0.3919 0.8630 Hg
0.8239 0.4157 0.5753 F
0.3150 0.9450 0.0784 F
0.9450 0.0784 0.3150 F
0.5753 0.8239 0.4157 F
0.6850 0.0550 0.9216 F
0.0784 0.3150 0.9450 F
0.0550 0.9216 0.6850 F
0.4247 0.1761 0.5843 F
0.1761 0.5843 0.4247 F
0.5843 0.4247 0.1761 F
0.9216 0.6850 0.0550 F
0.4157 0.5753 0.8239 F
0.0000 0.0000 0.0000 Ca


9.
GGA-PBE NbTcO2, relaxed; density = 7.5 g cm⁻³; E = -69.4 eV per cell; total magnetization = 0.0 μB per formula unit; excess energy over the best structure of this formula in the dataset = 232 meV per atom; uncorrected formation energy = -1082 meV per atom
1.0
-1.7938 3.0941 -1.6518
-0.7640 -2.1554 -3.2078
-6.7738 -1.3611 0.1089
Nb O Tc
2 4 2
Direct
0.5000 0.5000 0.0000 Nb
0.2500 0.7500 0.5000 Nb
0.1254 0.6250 0.2500 O
0.3750 0.3754 0.7500 O
0.8750 0.8746 0.7500 O
0.6246 0.1250 0.2500 O
0.0000 0.0000 0.0000 Tc
0.7500 0.2500 0.5000 Tc


10.
GGA-PBE Tb9HoEr2, relaxed; density = 8.5 g cm⁻³; E = -54.8 eV per cell; total magnetization = 0.0 μB per formula unit; excess energy over the best structure of this formula in the dataset = 29 meV per atom; energy of formation = 0.05 eV per atom
1.0
-0.9127 3.3330 -0.4209
-1.3559 1.0253 11.0595
9.9553 2.1403 -4.6384
Tb Er Ho
9 2 1
Direct
0.5000 0.1758 0.3517 Tb
0.0000 0.5000 0.0000 Tb
0.5000 0.6483 0.8242 Tb
0.5000 0.1758 0.8242 Tb
0.5000 0.8242 0.6483 Tb
0.5000 0.8242 0.1758 Tb
0.0000 0.5000 0.5000 Tb
0.0000 0.0000 0.5000 Tb
0.5000 0.3517 0.1758 Tb
0.0000 0.6667 0.3333 Er
0.0000 0.3333 0.6667 Er
0.0000 0.0000 0.0000 Ho


11.
GGA-PBE AcLa6Sc, relaxed; density = 6.4 g cm⁻³; E = -39.7 eV per cell; total magnetization = 0.0 μB per formula unit; energy of formation = 0.04 eV per atom
1.0
5.2346 0.0000 0.0000
0.0000 5.2346 0.0000
0.0000 0.0000 10.4830
La Ac Sc
6 1 1
Direct
0.5000 0.0000 0.7392 La
0.5000 0.5000 0.5000 La
0.0000 0.5000 0.2608 La
0.5000 0.0000 0.2608 La
0.0000 0.5000 0.7392 La
0.5000 0.5000 0.0000 La
0.0000 0.0000 0.0000 Ac
0.0000 0.0000 0.5000 Sc


12.
GGA-PBE RbBa2Hf, relaxed; density = 4.7 g cm⁻³; E = -21.3 eV per cell; total magnetization = 0.0 μB per formula unit; excess energy over the best structure of this formula in the dataset = 166 meV per atom; energy of formation = 1.03 eV per atom
1.0
9.8597 0.0000 0.0000
0.0000 9.8597 0.0000
4.9299 4.9299 3.9349
Ba Hf Rb
4 2 2
Direct
0.8750 0.9074 0.7500 Ba
0.6574 0.1250 0.2500 Ba
0.3750 0.3426 0.7500 Ba
0.0926 0.6250 0.2500 Ba
0.0000 0.0000 0.0000 Hf
0.7500 0.2500 0.5000 Hf
0.5000 0.5000 0.0000 Rb
0.2500 0.7500 0.5000 Rb


13.
GGA-PBE BaTlSbF, relaxed; density = 6.8 g cm⁻³; E = -33.6 eV per cell; total magnetization = 0.0 μB per formula unit; uncorrected formation energy = -1626 meV per atom
1.0
-2.4514 0.9925 -4.3309
4.3195 -0.6267 -2.5885
-1.8683 -8.8594 -0.9727
Sb Ba Tl F
2 2 2 2
Direct
0.5000 0.0000 0.1945 Sb
0.0000 0.5000 0.8055 Sb
0.0000 0.5000 0.3756 Ba
0.5000 0.0000 0.6244 Ba
0.5000 0.5000 0.0000 Tl
0.0000 0.0000 0.0000 Tl
0.5000 0.5000 0.5000 F
0.0000 0.0000 0.5000 F


14.
GGA-PBE UAlGa2Pt4, relaxed; density = 14.4 g cm⁻³; E = -51.1 eV per cell; total magnetization = 2.0 μB per formula unit; energy of formation = -0.74 eV per atom
1.0
-0.8418 -3.7059 -2.0843
-2.2242 -3.1460 1.9854
-8.1992 0.9692 -2.9184
U Ga Al Pt
1 2 1 4
Direct
0.0000 0.0000 0.0000 U
0.7535 0.7535 0.7395 Ga
0.2465 0.2465 0.2605 Ga
0.5000 0.5000 0.5000 Al
0.8652 0.8652 0.4045 Pt
0.1348 0.1348 0.5955 Pt
0.3967 0.3967 0.8098 Pt
0.6033 0.6033 0.1902 Pt


15.
GGA-PBE Ba2GePd, relaxed; density = 5.7 g cm⁻³; E = -15.9 eV per cell; total magnetization = 0.0 μB per formula unit; energy of formation = -0.57 eV per atom
1.0
4.6851 0.0000 0.0000
0.0000 5.0701 0.0000
0.0000 -2.5351 5.5951
Pd Ba Ge
1 2 1
Direct
0.5000 0.5789 0.1577 Pd
0.5000 0.2708 0.5417 Ba
0.0000 0.9791 0.9583 Ba
0.0000 0.6704 0.3408 Ge


16.
GGA-PBE PmSmHoAl, relaxed; density = 7.0 g cm⁻³; E = -18.5 eV per cell; total magnetization = 0.0 μB per formula unit; excess energy over the best structure of this formula in the dataset = 0 meV per atom; energy of formation = -0.18 eV per atom
1.0
-1.4277 0.1511 -3.2355
2.3823 -2.3467 -1.1608
-5.7064 -6.8796 2.1967
Pm Sm Al Ho
1 1 1 1
Direct
0.0000 0.0000 0.0778 Pm
0.5000 0.5000 0.7818 Sm
0.0000 0.0000 0.5650 Al
0.5000 0.5000 0.3602 Ho


17.
GGA-PBE AcLaGaPd, relaxed; density = 8.2 g cm⁻³; E = -19.5 eV per cell; total magnetization = 0.0 μB per formula unit; excess energy over the best structure of this formula in the dataset = 70 meV per atom; energy of formation = -0.57 eV per atom
1.0
5.3834 0.0000 0.0000
2.6917 4.6622 0.0000
2.6917 1.5541 4.3955
Ac Ga Pd La
1 1 1 1
Direct
0.0000 0.0000 0.0000 Ac
0.2500 0.2500 0.2500 Ga
0.7500 0.7500 0.7500 Pd
0.5000 0.5000 0.5000 La


18.
GGA-PBE BeS, relaxed; density = 2.4 g cm⁻³; E = -20.0 eV per cell; total magnetization = 0.0 μB per formula unit; excess energy over the best structure of this formula in the dataset = 6 meV per atom; uncorrected formation energy = -1061 meV per atom
1.0
-2.3801 0.4618 -2.4388
2.8283 -1.8330 -0.6829
-2.6474 -4.7148 1.6910
Be S
2 2
Direct
0.3333 0.6667 0.3270 Be
0.6667 0.3333 0.8270 Be
0.3333 0.6667 0.9528 S
0.6667 0.3333 0.4528 S


19.
GGA-PBE ErMgP2, relaxed; density = 5.1 g cm⁻³; E = -20.4 eV per cell; total magnetization = 0.0 μB per formula unit; excess energy over the best structure of this formula in the dataset = 0 meV per atom; energy of formation = -0.87 eV per atom
1.0
3.9917 0.0000 0.0000
1.9959 3.4570 0.0000
1.9959 1.1523 5.9896
Mg P Er
1 2 1
Direct
0.4947 0.4947 0.5160 Mg
0.0903 0.0903 0.7291 P
0.2457 0.2457 0.2629 P
0.6693 0.6693 0.9921 Er


20.
GGA-PBE ReAsW, relaxed; density = 13.8 g cm⁻³; E = -29.2 eV per cell; total magnetization = 0.0 μB per formula unit; excess energy over the best structure of this formula in the dataset = 73 meV per atom; energy of formation = 0.28 eV per atom
1.0
4.2321 0.0000 0.0000
2.1161 3.6651 0.0000
2.1161 1.2217 3.4555
As Re W
1 1 1
Direct
0.5000 0.5000 0.5000 As
0.7500 0.7500 0.7500 Re
0.0000 0.0000 0.0000 W


21.
GGA-PBE Sm5Sb4Se, relaxed; density = 7.2 g cm⁻³; E = -56.8 eV per cell; total magnetization = 0.0 μB per formula unit; excess energy over the best structure of this formula in the dataset = 0 meV per atom; uncorrected formation energy = -1320 meV per atom
1.0
5.6380 0.0000 2.7193
2.8190 6.9807 1.3597
-0.2137 0.0000 7.6472
Sm Sb Se
5 4 1
Direct
0.1008 0.6055 0.1948 Sm
0.5011 0.0000 0.0000 Sm
0.7064 0.1948 0.3945 Sm
0.2957 0.8052 0.6055 Sm
0.9012 0.3945 0.8052 Sm
0.8013 0.7971 0.6023 Sb
0.2007 0.2029 0.3977 Sb
0.5984 0.6023 0.2029 Sb
0.4036 0.3977 0.7971 Sb
0.0011 0.0000 0.0000 Se


22.
GGA-PBE Pu2ThH6, relaxed; density = 10.5 g cm⁻³; E = -60.0 eV per cell; total magnetization = 10.9 μB per formula unit
1.0
3.6080 0.0002 -1.1653
-0.7876 4.6745 -2.4377
0.1227 0.3906 6.5373
H Pu Th
6 2 1
Direct
0.1668 0.9127 0.3339 H
0.8332 0.5788 0.6661 H
0.8332 0.0873 0.6661 H
0.5000 0.2586 0.0000 H
0.1668 0.4212 0.3339 H
0.5000 0.7414 0.0000 H
0.6690 0.6692 0.3385 Pu
0.3310 0.3308 0.6615 Pu
0.0000 0.0000 0.0000 Th


23.
GGA-PBE Nb2V2Co, relaxed; density = 7.5 g cm⁻³; E = -89.0 eV per cell; total magnetization = 0.0 μB per formula unit; energy of formation = 0.19 eV per atom
1.0
-2.1079 -3.6426 -4.4168
5.0513 -3.3986 0.3922
-1.8201 -2.3785 2.8302
V Nb Co
4 4 2
Direct
0.1443 0.3557 0.0000 V
0.8557 0.6443 0.0000 V
0.3557 0.8557 0.0000 V
0.6443 0.1443 0.0000 V
0.8239 0.3239 0.5000 Nb
0.1761 0.6761 0.5000 Nb
0.3239 0.1761 0.5000 Nb
0.6761 0.8239 0.5000 Nb
0.5000 0.5000 0.0000 Co
0.0000 0.0000 0.0000 Co


24.
GGA-PBE SrYAlS4, relaxed; density = 3.3 g cm⁻³; E = -81.1 eV per cell; total magnetization = 0.0 μB per formula unit; uncorrected formation energy = -1739 meV per atom
1.0
6.5383 0.0000 0.0817
0.0000 6.6765 0.0000
-2.4594 0.0000 7.6641
S Sr Y Al
8 2 2 2
Direct
0.4425 0.7500 0.1406 S
0.5575 0.2500 0.8594 S
0.5502 0.2500 0.4071 S
0.4498 0.7500 0.5929 S
0.9977 0.5025 0.7290 S
0.0023 0.4975 0.2710 S
0.0023 0.0025 0.2710 S
0.9977 0.9975 0.7290 S
0.7484 0.7500 0.9387 Sr
0.2516 0.2500 0.0613 Sr
0.7806 0.7500 0.4474 Y
0.2194 0.2500 0.5526 Y
0.2423 0.7500 0.3206 Al
0.7577 0.2500 0.6794 Al


25.
GGA-PBE Cu2Ir, relaxed; density = 13.5 g cm⁻³; E = -33.2 eV per cell; total magnetization = 0.0 μB per formula unit; excess energy over the best structure of this formula in the dataset = 104 meV per atom; energy of formation = 0.16 eV per atom
1.0
0.1502 1.6542 -6.8872
-1.7448 -3.4045 5.9630
-3.3968 2.7810 0.5939
Ir Cu
2 4
Direct
0.1131 0.8869 0.7500 Ir
0.8869 0.1131 0.2500 Ir
0.7791 0.2209 0.7500 Cu
0.4433 0.5567 0.7500 Cu
0.5567 0.4433 0.2500 Cu
0.2209 0.7791 0.2500 Cu